{
  "formula": "CdAuSeN2",
  "functional": "PBE",
  "state": "optimized geometry",
  "e_above_lowest_polymorph_kj_per_mol_fu": 159,
  "formation_energy_uncorrected_ev_per_atom": 1.755,
  "space_group": "No. 123",
  "lattice_angstrom": [[-2.268, 0.459, 3.460], [-3.361, -1.398, -2.018], [1.371, -5.682, 1.653]],
  "species": ["Au", "Cd", "N", "N", "Se"],
  "frac_coords": [[0.500, 0.500, 0.500], [0.000, 0.000, 0.000], [0.500, 0.000, 0.000], [0.000, 0.500, 0.000], [0.000, 0.000, 0.500]]
}



{
  "formula": "BeNiRh2",
  "functional": "PBE",
  "state": "optimized geometry",
  "space_group": "No. 65",
  "formation_enthalpy_0k_ev_per_atom": -0.026,
  "lattice_angstrom": [[-0.507, -2.575, 0.240], [2.494, 0.657, -0.542], [1.583, 0.415, 7.790]],
  "species": ["Rh", "Ni", "Be", "Rh"],
  "frac_coords": [[0.000, 0.000, 0.023], [0.500, 0.500, 0.750], [0.500, 0.500, 0.250], [0.000, 0.000, 0.477]]
}



{
  "formula": "CuSnAu14",
  "functional": "PBE",
  "state": "optimized geometry",
  "space_group": "No. 38",
  "formation_enthalpy_0k_ev_per_atom": 0.008,
  "lattice_angstrom": [[5.790, -0.215, 0.000], [-2.467, 5.242, 0.000], [0.000, 0.000, 9.760]],
  "species": ["Au", "Cu", "Sn", "Au", "Au", "Au", "Au", "Au", "Au", "Au", "Au", "Au", "Au", "Au", "Au", "Au"],
  "frac_coords": [[0.375, 0.625, 0.245], [0.048, 0.952, 0.500], [0.552, 0.448, 0.500], [0.705, 0.801, 0.000], [0.875, 0.125, 0.256], [0.875, 0.125, 0.744], [0.701, 0.299, 0.000], [0.368, 0.121, 0.254], [0.368, 0.121, 0.746], [0.879, 0.632, 0.746], [0.201, 0.799, 0.000], [0.054, 0.454, 0.500], [0.375, 0.625, 0.755], [0.879, 0.632, 0.254], [0.199, 0.295, 0.000], [0.546, 0.946, 0.500]]
}



{
  "formula": "ReTeMo4",
  "functional": "PBE",
  "state": "optimized geometry",
  "formation_energy_uncorrected_ev_per_atom": 0.652,
  "space_group": "No. 216",
  "lattice_angstrom": [[0.000, 3.714, 3.714], [3.714, 0.000, 3.714], [3.714, 3.714, 0.000]],
  "species": ["Mo", "Te", "Re", "Mo", "Mo", "Mo"],
  "frac_coords": [[0.374, 0.374, 0.374], [0.000, 0.000, 0.000], [0.750, 0.750, 0.750], [0.374, 0.877, 0.374], [0.877, 0.374, 0.374], [0.374, 0.374, 0.877]]
}



no.,calculated volume (Å³ per cell)
1,105.3
2,49.5
3,291.1
4,102.5